Er3Mn2Al7 after structural relaxation, computed with GGA-PBE.

Cell: 4.504 22.464 4.515 Å, 90.00 90.00 90.00°
Space group Cmmm (No. 65)
Symmetry-distinct sites (fractional):
Er 0.000 0.000 0.000 [2 per cell]
Er 0.000 0.186 0.000 [4 per cell]
Mn 0.000 0.397 0.500 [4 per cell]
Al 0.000 0.095 0.500 [4 per cell]
Al 0.000 0.288 0.500 [4 per cell]
Al 0.000 0.405 0.000 [4 per cell]
Al 0.000 0.500 0.500 [2 per cell]

DFT formation energy: -0.276 eV/atom

PmYPa after structural relaxation, computed with GGA-PBE.

Cell: 3.413 3.413 15.522 Å, 90.00 90.00 90.00°
Space group I4mm (No. 107)
Symmetry-distinct sites (fractional):
Pm 0.000 0.000 0.000 [2 per cell]
Y 0.000 0.000 0.690 [2 per cell]
Pa 0.000 0.000 0.344 [2 per cell]

energy above the lowest structure with this stoichiometry: 0.00 kcal/mol of atoms
DFT formation energy: 0.175 eV/atom

AlVSn after structural relaxation, computed with GGA-PBE.

Cell: 5.350 11.916 7.147 Å, 90.00 90.00 90.00°
Space group Cmce (No. 64)
Symmetry-distinct sites (fractional):
Al 0.250 0.070 0.250 [8 per cell]
V 0.000 0.090 0.565 [8 per cell]
Sn 0.000 0.173 0.931 [8 per cell]

DFT formation energy: 0.036 eV/atom

What did the second record say?
PmYPa after structural relaxation, computed with GGA-PBE.

Cell: 3.413 3.413 15.522 Å, 90.00 90.00 90.00°
Space group I4mm (No. 107)
Symmetry-distinct sites (fractional):
Pm 0.000 0.000 0.000 [2 per cell]
Y 0.000 0.000 0.690 [2 per cell]
Pa 0.000 0.000 0.344 [2 per cell]

energy above the lowest structure with this stoichiometry: 0.00 kcal/mol of atoms
DFT formation energy: 0.175 eV/atom

Repeat the first record exactly.
Er3Mn2Al7 after structural relaxation, computed with GGA-PBE.

Cell: 4.504 22.464 4.515 Å, 90.00 90.00 90.00°
Space group Cmmm (No. 65)
Symmetry-distinct sites (fractional):
Er 0.000 0.000 0.000 [2 per cell]
Er 0.000 0.186 0.000 [4 per cell]
Mn 0.000 0.397 0.500 [4 per cell]
Al 0.000 0.095 0.500 [4 per cell]
Al 0.000 0.288 0.500 [4 per cell]
Al 0.000 0.405 0.000 [4 per cell]
Al 0.000 0.500 0.500 [2 per cell]

DFT formation energy: -0.276 eV/atom

Among the records above, which one has the highest DFT formation energy? PmYPa